(1)
A plane-wave DFT calculation with GGA-PBE was carried out for crystalline Zr2ScTc at its relaxed geometry.

Cell: 3.076 3.076 9.594 Å, 90.00 90.00 114.53°
Fractional coordinates of all 4 atoms:
Tc (0.500, 0.500, 0.751)
Zr (0.500, 0.500, 0.245)
Sc (0.000, 0.000, 0.538)
Zr (0.000, 0.000, 0.965)

Output
E above lowest polymorph	0.69	eV per formula unit
formation energy from the elements	-0.033	eV per atom

---

(2)
A plane-wave DFT calculation with GGA-PBE was carried out for crystalline Zr2ScTc at its relaxed geometry.

Cell: 5.665 5.665 5.665 Å, 138.06 138.06 60.81°
Fractional coordinates of all 4 atoms:
Sc (0.500, 0.500, 0.000)
Tc (0.750, 0.250, 0.500)
Zr (0.000, 0.000, 0.000)
Zr (0.250, 0.750, 0.500)

Output
E above lowest polymorph	1.05	eV per formula unit
formation energy from the elements	0.057	eV per atom

---

(3)
A plane-wave DFT calculation with GGA-PBE was carried out for crystalline Zr2Sc3Tc2 at its relaxed geometry.

Cell: 3.462 6.118 7.932 Å, 114.05 90.00 106.43°
Fractional coordinates of all 7 atoms:
Zr (0.850, 0.700, 0.181)
Sc (0.618, 0.237, 0.440)
Zr (0.150, 0.300, 0.819)
Tc (0.810, 0.620, 0.787)
Sc (0.382, 0.763, 0.560)
Sc (0.500, 0.000, 0.000)
Tc (0.190, 0.380, 0.213)

Output
formation energy from the elements	-0.151	eV per atom

---

Which value of formation energy from the elements does entry 1 give? -0.033 eV per atom

---

Which formula does entry 3 have? Zr2Sc3Tc2